*P*
# NiIrRh2 | Alexandria via LeMat-Bulk | PBE-GGA | relaxed
data_NiIrRh2
_cell_length_a 4.5567
_cell_length_b 4.5567
_cell_length_c 2.6925
_cell_angle_alpha 90.00
_cell_angle_beta 90.00
_cell_angle_gamma 90.00
_space_group_name_H-M_alt 'P 4/m m m'
_space_group_IT_number 123
_space_group_name_Hall '-P 4 2'
loop_
_atom_site_label
_atom_site_fract_x
_atom_site_fract_y
_atom_site_fract_z
_atom_site_occupancy
Ni1 0.0000 0.0000 0.0000 1
Ir1 0.5000 0.5000 0.0000 1
Rh1 0.0000 0.5000 0.5000 1
# Total magnetic moment = 0.185 μB/atom

=====

*Q*
# NiIrRh2 | Alexandria via LeMat-Bulk | PBE-GGA | relaxed
data_NiIrRh2
_cell_length_a 2.7145
_cell_length_b 2.7145
_cell_length_c 7.3429
_cell_angle_alpha 90.00
_cell_angle_beta 90.00
_cell_angle_gamma 90.00
_space_group_name_H-M_alt 'P 4 m m'
_space_group_IT_number 99
_space_group_name_Hall 'P 4 -2'
loop_
_atom_site_label
_atom_site_fract_x
_atom_site_fract_y
_atom_site_fract_z
_atom_site_occupancy
Ni1 0.0000 0.0000 0.0000 1
Ir1 0.5000 0.5000 0.7629 1
Rh1 0.0000 0.0000 0.5035 1
Rh2 0.5000 0.5000 0.2401 1
# Total magnetic moment = 0.000 μB/atom

=====

*R*
# NiIrRh2 | Alexandria via LeMat-Bulk | PBE-GGA | relaxed
data_NiIrRh2
_cell_length_a 3.7678
_cell_length_b 3.7678
_cell_length_c 7.6227
_cell_angle_alpha 90.00
_cell_angle_beta 90.00
_cell_angle_gamma 90.00
_space_group_name_H-M_alt 'I 4/m m m'
_space_group_IT_number 139
_space_group_name_Hall '-I 4 2'
loop_
_atom_site_label
_atom_site_fract_x
_atom_site_fract_y
_atom_site_fract_z
_atom_site_occupancy
Ni1 0.0000 0.0000 0.0000 1
Ir1 0.0000 0.0000 0.5000 1
Rh1 0.0000 0.5000 0.2500 1
# Total magnetic moment = 0.000 μB/atom

=====

*S*
# NiIrRh2 | Alexandria via LeMat-Bulk | PBE-GGA | relaxed
data_NiIrRh2
_cell_length_a 5.3485
_cell_length_b 7.5816
_cell_length_c 2.7031
_cell_angle_alpha 90.00
_cell_angle_beta 90.00
_cell_angle_gamma 90.00
_space_group_name_H-M_alt 'C m m m'
_space_group_IT_number 65
_space_group_name_Hall '-C 2 2'
loop_
_atom_site_label
_atom_site_fract_x
_atom_site_fract_y
_atom_site_fract_z
_atom_site_occupancy
Ni1 0.0000 0.0000 0.0000 1
Ir1 0.0000 0.5000 0.0000 1
Rh1 0.2500 0.2500 0.5000 1
# Total magnetic moment = 0.407 μB/atom

=====

Referenced to the most stable arrangement, the calculated values in meV per atom are *P* 221; *Q* 25; *R* 0; *S* 33.

=====

*P*
# Ni2Ir2Rh7 | Alexandria via LeMat-Bulk | PBE-GGA | relaxed
data_Ni2Ir2Rh7
_cell_length_a 6.8855
_cell_length_b 7.1987
_cell_length_c 6.4088
_cell_angle_alpha 90.00
_cell_angle_beta 101.15
_cell_angle_gamma 90.00
_space_group_name_H-M_alt 'C 1 2/m 1'
_space_group_IT_number 12
_space_group_name_Hall '-C 2y'
loop_
_atom_site_label
_atom_site_fract_x
_atom_site_fract_y
_atom_site_fract_z
_atom_site_occupancy
Ni1 0.0000 0.1854 0.0000 1
Ir1 0.1632 0.5000 0.9295 1
Rh1 0.0000 0.5000 0.5000 1
Rh2 0.1044 0.0000 0.3490 1
Rh3 0.2254 0.1894 0.7034 1
# Total magnetic moment = 0.000 μB/atom

=====

*Q*
# Ni2Ir2Rh7 | Alexandria via LeMat-Bulk | PBE-GGA | relaxed
data_Ni2Ir2Rh7
_cell_length_a 4.6518
_cell_length_b 6.0115
_cell_length_c 6.0257
_cell_angle_alpha 107.14
_cell_angle_beta 97.70
_cell_angle_gamma 105.04
_space_group_name_H-M_alt 'P -1'
_space_group_IT_number 2
_space_group_name_Hall '-P 1'
loop_
_atom_site_label
_atom_site_fract_x
_atom_site_fract_y
_atom_site_fract_z
_atom_site_occupancy
Ni1 0.0902 0.3656 0.3242 1
Ir1 0.3659 0.4573 0.7733 1
Rh1 0.0000 0.0000 0.5000 1
Rh2 0.1803 0.7231 0.1377 1
Rh3 0.2708 0.0926 0.9572 1
Rh4 0.4534 0.8114 0.5905 1
# Total magnetic moment = 0.000 μB/atom

=====

Referenced to the most stable arrangement, the calculated values in meV per atom are *P* 170; *Q* 0.

=====

*P*
# Ni3Ir2Rh2 | Alexandria via LeMat-Bulk | PBE-GGA | relaxed
data_Ni3Ir2Rh2
_cell_length_a 4.1096
_cell_length_b 17.6305
_cell_length_c 2.6225
_cell_angle_alpha 90.00
_cell_angle_beta 90.00
_cell_angle_gamma 90.00
_space_group_name_H-M_alt 'C m m m'
_space_group_IT_number 65
_space_group_name_Hall '-C 2 2'
loop_
_atom_site_label
_atom_site_fract_x
_atom_site_fract_y
_atom_site_fract_z
_atom_site_occupancy
Ni1 0.0000 0.0000 0.0000 1
Ni2 0.0000 0.2842 0.0000 1
Ir1 0.0000 0.1407 0.0000 1
Rh1 0.0000 0.4230 0.5000 1
# Total magnetic moment = 0.000 μB/atom

=====

*Q*
# Ni3Ir2Rh2 | Alexandria via LeMat-Bulk | PBE-GGA | relaxed
data_Ni3Ir2Rh2
_cell_length_a 8.3919
_cell_length_b 3.6981
_cell_length_c 5.8921
_cell_angle_alpha 90.00
_cell_angle_beta 97.05
_cell_angle_gamma 90.00
_space_group_name_H-M_alt 'C 1 2/m 1'
_space_group_IT_number 12
_space_group_name_Hall '-C 2y'
loop_
_atom_site_label
_atom_site_fract_x
_atom_site_fract_y
_atom_site_fract_z
_atom_site_occupancy
Ni1 0.0000 0.0000 0.0000 1
Ni2 0.1436 0.0000 0.4304 1
Ir1 0.2143 0.5000 0.1495 1
Rh1 0.0709 0.5000 0.7142 1
# Total magnetic moment = 0.001 μB/atom

=====

Referenced to the most stable arrangement, the calculated values in meV per atom are *P* 218; *Q* 0.

=====

*P*
# NiIr2Rh6 | Alexandria via LeMat-Bulk | PBE-GGA | relaxed
data_NiIr2Rh6
_cell_length_a 8.1460
_cell_length_b 8.1460
_cell_length_c 8.1460
_cell_angle_alpha 90.00
_cell_angle_beta 90.00
_cell_angle_gamma 90.00
_space_group_name_H-M_alt 'F m -3 m'
_space_group_IT_number 225
_space_group_name_Hall '-F 4 2 3'
loop_
_atom_site_label
_atom_site_fract_x
_atom_site_fract_y
_atom_site_fract_z
_atom_site_occupancy
Ni1 0.0000 0.0000 0.0000 1
Ir1 0.2500 0.2500 0.2500 1
Rh1 0.0000 0.0000 0.2760 1
# Total magnetic moment = 0.395 μB/atom

=====

*Q*
# NiIr2Rh6 | Alexandria via LeMat-Bulk | PBE-GGA | relaxed
data_NiIr2Rh6
_cell_length_a 4.6867
_cell_length_b 4.6954
_cell_length_c 6.7944
_cell_angle_alpha 96.53
_cell_angle_beta 96.63
_cell_angle_gamma 119.94
_space_group_name_H-M_alt 'P -1'
_space_group_IT_number 2
_space_group_name_Hall '-P 1'
loop_
_atom_site_label
_atom_site_fract_x
_atom_site_fract_y
_atom_site_fract_z
_atom_site_occupancy
Ni1 0.0000 0.0000 0.0000 1
Ir1 0.4366 0.1062 0.3308 1
Rh1 0.1125 0.4398 0.3307 1
Rh2 0.2213 0.2188 0.6703 1
Rh3 0.3353 0.6720 0.9983 1
# Total magnetic moment = 0.000 μB/atom

=====

Referenced to the most stable arrangement, the calculated values in meV per atom are *P* 485; *Q* 0.

=====

*P*
# NiIr2Rh2 | Alexandria via LeMat-Bulk | PBE-GGA | relaxed
data_NiIr2Rh2
_cell_length_a 2.7158
_cell_length_b 3.7683
_cell_length_c 13.4293
_cell_angle_alpha 90.00
_cell_angle_beta 90.00
_cell_angle_gamma 90.00
_space_group_name_H-M_alt 'I m m m'
_space_group_IT_number 71
_space_group_name_Hall '-I 2 2'
loop_
_atom_site_label
_atom_site_fract_x
_atom_site_fract_y
_atom_site_fract_z
_atom_site_occupancy
Ni1 0.0000 0.0000 0.0000 1
Ir1 0.0000 0.0000 0.4040 1
Rh1 0.0000 0.0000 0.1970 1
# Total magnetic moment = 0.000 μB/atom

=====

*Q*
# NiIr2Rh2 | Alexandria via LeMat-Bulk | PBE-GGA | relaxed
data_NiIr2Rh2
_cell_length_a 7.4757
_cell_length_b 7.4757
_cell_length_c 2.7327
_cell_angle_alpha 90.00
_cell_angle_beta 90.00
_cell_angle_gamma 90.00
_space_group_name_H-M_alt 'P 4/m b m'
_space_group_IT_number 127
_space_group_name_Hall '-P 4 2ab'
loop_
_atom_site_label
_atom_site_fract_x
_atom_site_fract_y
_atom_site_fract_z
_atom_site_occupancy
Ni1 0.0000 0.0000 0.0000 1
Ir1 0.1229 0.3771 0.0000 1
Rh1 0.1748 0.6748 0.5000 1
# Total magnetic moment = 0.176 μB/atom

=====

Referenced to the most stable arrangement, the calculated values in meV per atom are *P* 0; *Q* 407.

=====

*P*
# Ni6Ir3Rh | Alexandria via LeMat-Bulk | PBE-GGA | relaxed
data_Ni6Ir3Rh
_cell_length_a 5.1026
_cell_length_b 3.9498
_cell_length_c 12.4420
_cell_angle_alpha 90.00
_cell_angle_beta 97.50
_cell_angle_gamma 90.00
_space_group_name_H-M_alt 'P 1 21/m 1'
_space_group_IT_number 11
_space_group_name_Hall '-P 2yb'
loop_
_atom_site_label
_atom_site_fract_x
_atom_site_fract_y
_atom_site_fract_z
_atom_site_occupancy
Ni1 0.0331 0.2500 0.3544 1
Ni2 0.1138 0.7500 0.4622 1
Ni3 0.1515 0.7500 0.0527 1
Ni4 0.2469 0.2500 0.7367 1
Ni5 0.4474 0.2500 0.1513 1
Ni6 0.4640 0.7500 0.6564 1
Ir1 0.0473 0.7500 0.8454 1
Ir2 0.2518 0.7500 0.2617 1
Ir3 0.3782 0.2500 0.5392 1
Rh1 0.3452 0.2500 0.9455 1
# Total magnetic moment = 0.000 μB/atom

=====

*Q*
# Ni6Ir3Rh | Alexandria via LeMat-Bulk | PBE-GGA | relaxed
data_Ni6Ir3Rh
_cell_length_a 8.7729
_cell_length_b 4.7070
_cell_length_c 6.8140
_cell_angle_alpha 90.00
_cell_angle_beta 110.27
_cell_angle_gamma 90.00
_space_group_name_H-M_alt 'C 1 2/m 1'
_space_group_IT_number 12
_space_group_name_Hall '-C 2y'
loop_
_atom_site_label
_atom_site_fract_x
_atom_site_fract_y
_atom_site_fract_z
_atom_site_occupancy
Ni1 0.1666 0.0000 0.4271 1
Ni2 0.1710 0.2490 0.8127 1
Ir1 0.0000 0.5000 0.5000 1
Ir2 0.0921 0.5000 0.1932 1
Rh1 0.0000 0.0000 0.0000 1
# Total magnetic moment = 0.247 μB/atom

=====

Referenced to the most stable arrangement, the calculated values in meV per atom are *P* 0; *Q* 156.

=====

*P*
# Ni5IrRh2 | Alexandria via LeMat-Bulk | PBE-GGA | relaxed
data_Ni5IrRh2
_cell_length_a 4.1379
_cell_length_b 8.3104
_cell_length_c 12.1417
_cell_angle_alpha 90.00
_cell_angle_beta 90.00
_cell_angle_gamma 90.00
_space_group_name_H-M_alt 'C m c m'
_space_group_IT_number 63
_space_group_name_Hall '-C 2c 2'
loop_
_atom_site_label
_atom_site_fract_x
_atom_site_fract_y
_atom_site_fract_z
_atom_site_occupancy
Ni1 0.0000 0.0385 0.2500 1
Ni2 0.0000 0.0973 0.5676 1
Ni3 0.0000 0.4250 0.5836 1
Ir1 0.0000 0.2570 0.7500 1
Rh1 0.0000 0.2589 0.1098 1
# Total magnetic moment = 0.595 μB/atom

=====

*Q*
# Ni5IrRh2 | Alexandria via LeMat-Bulk | PBE-GGA | relaxed
data_Ni5IrRh2
_cell_length_a 5.2351
_cell_length_b 5.2351
_cell_length_c 7.1979
_cell_angle_alpha 90.00
_cell_angle_beta 90.00
_cell_angle_gamma 90.00
_space_group_name_H-M_alt 'I 4/m m m'
_space_group_IT_number 139
_space_group_name_Hall '-I 4 2'
loop_
_atom_site_label
_atom_site_fract_x
_atom_site_fract_y
_atom_site_fract_z
_atom_site_occupancy
Ni1 0.0000 0.0000 0.0000 1
Ni2 0.2500 0.2500 0.2500 1
Ir1 0.0000 0.0000 0.5000 1
Rh1 0.0000 0.5000 0.0000 1
# Total magnetic moment = 0.367 μB/atom

=====

Referenced to the most stable arrangement, the calculated values in meV per atom are *P* 196; *Q* 0.

=====

*P*
# NiIr3Rh3 | Alexandria via LeMat-Bulk | PBE-GGA | relaxed
data_NiIr3Rh3
_cell_length_a 7.1888
_cell_length_b 7.1888
_cell_length_c 4.3778
_cell_angle_alpha 90.00
_cell_angle_beta 90.00
_cell_angle_gamma 120.00
_space_group_name_H-M_alt 'P 63/m'
_space_group_IT_number 176
_space_group_name_Hall '-P 6c'
loop_
_atom_site_label
_atom_site_fract_x
_atom_site_fract_y
_atom_site_fract_z
_atom_site_occupancy
Ni1 0.3333 0.6667 0.2500 1
Ir1 0.0987 0.6137 0.7500 1
Rh1 0.0519 0.8101 0.2500 1
# Total magnetic moment = 0.000 μB/atom

=====

*Q*
# NiIr3Rh3 | Alexandria via LeMat-Bulk | PBE-GGA | relaxed
data_NiIr3Rh3
_cell_length_a 7.8785
_cell_length_b 7.8785
_cell_length_c 5.8294
_cell_angle_alpha 90.00
_cell_angle_beta 90.00
_cell_angle_gamma 120.00
_space_group_name_H-M_alt 'R 3 m'
_space_group_IT_number 160
_space_group_name_Hall 'R 3 -2"'
loop_
_atom_site_label
_atom_site_fract_x
_atom_site_fract_y
_atom_site_fract_z
_atom_site_occupancy
Ni1 0.0000 0.0000 0.0000 1
Ir1 0.1850 0.3701 0.9045 1
Rh1 0.2136 0.4272 0.3340 1
# Total magnetic moment = 0.001 μB/atom

=====

Referenced to the most stable arrangement, the calculated values in meV per atom are *P* 0; *Q* 343.

=====

*P*
# Ni6IrRh2 | Alexandria via LeMat-Bulk | PBE-GGA | relaxed
data_Ni6IrRh2
_cell_length_a 7.2620
_cell_length_b 5.2889
_cell_length_c 6.2640
_cell_angle_alpha 90.00
_cell_angle_beta 110.02
_cell_angle_gamma 90.00
_space_group_name_H-M_alt 'C 1 2/m 1'
_space_group_IT_number 12
_space_group_name_Hall '-C 2y'
loop_
_atom_site_label
_atom_site_fract_x
_atom_site_fract_y
_atom_site_fract_z
_atom_site_occupancy
Ni1 0.0633 0.2209 0.2119 1
Ni2 0.1683 0.0000 0.5859 1
Ir1 0.0000 0.5000 0.5000 1
Rh1 0.2232 0.5000 0.9742 1
# Total magnetic moment = 0.759 μB/atom

=====

*Q*
# Ni6IrRh2 | Alexandria via LeMat-Bulk | PBE-GGA | relaxed
data_Ni6IrRh2
_cell_length_a 8.2536
_cell_length_b 4.7604
_cell_length_c 5.9034
_cell_angle_alpha 90.00
_cell_angle_beta 90.21
_cell_angle_gamma 90.00
_space_group_name_H-M_alt 'C 1 2/m 1'
_space_group_IT_number 12
_space_group_name_Hall '-C 2y'
loop_
_atom_site_label
_atom_site_fract_x
_atom_site_fract_y
_atom_site_fract_z
_atom_site_occupancy
Ni1 0.0859 0.2432 0.3366 1
Ni2 0.1711 0.5000 0.6653 1
Ir1 0.0000 0.5000 0.0000 1
Rh1 0.1665 0.0000 0.9267 1
# Total magnetic moment = 0.640 μB/atom

=====

Referenced to the most stable arrangement, the calculated values in meV per atom are *P* 0; *Q* 42.

=====

*P*
# Ni2IrRh8 | Alexandria via LeMat-Bulk | PBE-GGA | relaxed
data_Ni2IrRh8
_cell_length_a 11.2747
_cell_length_b 6.9868
_cell_length_c 4.4323
_cell_angle_alpha 90.00
_cell_angle_beta 102.48
_cell_angle_gamma 90.00
_space_group_name_H-M_alt 'C 1 2/m 1'
_space_group_IT_number 12
_space_group_name_Hall '-C 2y'
loop_
_atom_site_label
_atom_site_fract_x
_atom_site_fract_y
_atom_site_fract_z
_atom_site_occupancy
Ni1 0.1139 0.0000 0.0446 1
Ir1 0.0000 0.0000 0.5000 1
Rh1 0.0740 0.3108 0.2887 1
Rh2 0.1421 0.5000 0.8290 1
Rh3 0.2255 0.0000 0.5985 1
# Total magnetic moment = 0.001 μB/atom

=====

*Q*
# Ni2IrRh8 | Alexandria via LeMat-Bulk | PBE-GGA | relaxed
data_Ni2IrRh8
_cell_length_a 7.8354
_cell_length_b 10.1455
_cell_length_c 3.9741
_cell_angle_alpha 90.00
_cell_angle_beta 90.00
_cell_angle_gamma 90.00
_space_group_name_H-M_alt 'C m m m'
_space_group_IT_number 65
_space_group_name_Hall '-C 2 2'
loop_
_atom_site_label
_atom_site_fract_x
_atom_site_fract_y
_atom_site_fract_z
_atom_site_occupancy
Ni1 0.0000 0.1138 0.0000 1
Ir1 0.0000 0.5000 0.5000 1
Rh1 0.0000 0.2430 0.5000 1
Rh2 0.1633 0.0000 0.5000 1
Rh3 0.1699 0.3681 0.0000 1
# Total magnetic moment = 0.000 μB/atom

=====

Referenced to the most stable arrangement, the calculated values in meV per atom are *P* 215; *Q* 0.